# CdPd

An optimized crystal structure of CdPd (GGA-PBEsol, Alexandria via LeMat-Bulk).

Results
Energy relative to the elements = -0.42 eV/atom

```
data_CdPd
_symmetry_space_group_name_H-M 'P 4/m m m'
_symmetry_Int_Tables_number 123
_symmetry_space_group_name_Hall '-P 4 2'
_cell_length_a 2.999
_cell_length_b 2.999
_cell_length_c 3.662
_cell_angle_alpha 90.00
_cell_angle_beta 90.00
_cell_angle_gamma 90.00
loop_
_atom_site_label
_atom_site_fract_x
_atom_site_fract_y
_atom_site_fract_z
Cd1 0.000 0.000 0.000
Pd1 0.500 0.500 0.500
```